CrCd2BPd | PBE-GGA | optimized geometry

Summary:
As for the formation energy: 0.50 eV/atom. For the total DFT energy (no corrections), the calculation gives -20.8 eV per formula unit. For the size of the total moment, the calculation gives 0.01 μB/f.u. As for the space group: P4/mmm, No. 123.

Geometry as extended XYZ:
```
5
Lattice="4.4641 0.0000 0.0000 0.0000 3.9909 0.0000 0.0000 0.0000 4.4641" Properties=species:S:1:pos:R:3 pbc="T T T"
Cr 0.0000 1.9955 0.0000
B 0.0000 0.0000 0.0000
Pd 2.2321 1.9955 2.2321
Cd 0.0000 0.0000 2.2321
Cd 2.2321 0.0000 0.0000
```

---

CaAgCl | PBE-GGA | optimized geometry

Summary:
The polymorph energy (0 for the lowest one) comes out at 0.163 eV per atom. Its uncorrected formation energy is -0.86 eV/atom. For the total DFT energy (no corrections), the calculation gives -9.3 eV per formula unit. For the size of the total moment, the calculation gives 0.00 μB/f.u. As for the space group: F-43m, No. 216.

Geometry as extended XYZ:
```
3
Lattice="-2.6874 0.0187 -4.1734 2.0527 -1.4509 -4.2803 -1.3768 -4.2893 -2.0846" Properties=species:S:1:pos:R:3 pbc="T T T"
Ca -1.5086 -4.2911 -7.9038
Ag -1.0057 -2.8608 -5.2692
Cl 0.0000 0.0000 0.0000
```

---

Dy4HfHg5 | PBE-GGA | optimized geometry

Summary:
As for the formation energy: -0.36 eV/atom. For the total DFT energy (no corrections), the calculation gives -33.5 eV per formula unit. For the size of the total moment, the calculation gives 0.80 μB/f.u. As for the space group: P4/mmm, No. 123.

Geometry as extended XYZ:
```
10
Lattice="-3.6141 0.4688 0.4894 -0.6775 -2.4418 -2.6645 -0.0733 -13.4946 12.3852" Properties=species:S:1:pos:R:3 pbc="T T T"
Dy -0.0140 -2.5796 2.3675
Dy -0.0291 -5.3513 4.9113
Dy -0.0442 -8.1433 7.4738
Dy -0.0593 -10.9150 10.0177
Hf 0.0000 0.0000 0.0000
Hg -2.1523 -2.1880 0.0152
Hg -2.1673 -4.9549 2.5546
Hg -2.1824 -7.7338 5.1050
Hg -2.1975 -10.5127 7.6554
Hg -2.2126 -13.2796 10.1949
```

---

Q: Which formula does entry 3 have?
A: Dy4HfHg5

---

Q: Look up the size of the total moment of the third one.
A: 0.80 μB/f.u.

---

Q: The lowest size of the total moment belongs to which entry?
A: CaAgCl